Record 1
A plane-wave DFT calculation with GGA-PBE was carried out for a geometry-optimized Ac5Pr6Sm2 structure.

Cell: 3.8277 12.1667 22.1455 Å, 90.00 90.00 90.00°
Sites, in units of the cell vectors:
1 Ac 0.5000 0.3071 0.4236
2 Ac 0.5000 0.6929 0.5764
3 Ac 0.5000 0.8071 0.0764
4 Ac 0.5000 0.1929 0.9236
5 Ac 0.5000 0.5506 0.2891
6 Ac 0.5000 0.4494 0.7109
7 Ac 0.5000 0.0506 0.2109
8 Ac 0.5000 0.9494 0.7891
9 Ac 0.5000 0.5000 0.0000
10 Ac 0.5000 0.0000 0.5000
11 Pr 0.0000 0.0576 0.3566
12 Pr 0.0000 0.9424 0.6434
13 Pr 0.0000 0.5576 0.1434
14 Pr 0.0000 0.4424 0.8566
15 Pr 0.5000 0.3109 0.1287
16 Pr 0.5000 0.6891 0.8713
17 Pr 0.5000 0.8109 0.3713
18 Pr 0.5000 0.1891 0.6287
19 Pr 0.0000 0.5820 0.4359
20 Pr 0.0000 0.4180 0.5641
21 Pr 0.0000 0.0820 0.0641
22 Pr 0.0000 0.9180 0.9359
23 Sm 0.0000 0.2924 0.2681
24 Sm 0.0000 0.7076 0.7319
25 Sm 0.0000 0.7924 0.2319
26 Sm 0.0000 0.2076 0.7681

Properties
crystal system	orthorhombic
total magnetization	0.000	μB per atom
space group	Pbam


Record 2
A plane-wave DFT calculation with GGA-PBE was carried out for a geometry-optimized Ac2Pr3Sm structure.

Cell: 3.6524 6.9168 18.8586 Å, 90.00 90.00 90.00°
Sites, in units of the cell vectors:
1 Ac 0.5000 0.7226 0.1880
2 Ac 0.0000 0.2226 0.3120
3 Ac 0.0000 0.7774 0.6880
4 Ac 0.5000 0.2774 0.8120
5 Pr 0.0000 0.0000 0.0000
6 Pr 0.5000 0.5000 0.5000
7 Pr 0.5000 0.7801 0.8608
8 Pr 0.5000 0.2199 0.1392
9 Pr 0.0000 0.2801 0.6392
10 Pr 0.0000 0.7199 0.3608
11 Sm 0.0000 0.0000 0.5000
12 Sm 0.5000 0.5000 0.0000

Properties
crystal system	orthorhombic
total magnetization	0.000	μB per atom
space group	Pnnm
energy above the most stable polymorph in this dataset	20.6	kJ/mol of atoms


Record 3
A plane-wave DFT calculation with GGA-PBE was carried out for a geometry-optimized AcPrSm4 structure.

Cell: 6.7126 6.7126 11.3069 Å, 90.00 90.00 120.38°
Sites, in units of the cell vectors:
1 Ac 0.0000 0.0000 0.0000
2 Ac 0.0000 0.0000 0.5000
3 Pr 0.1735 0.8265 0.7500
4 Pr 0.8265 0.1735 0.2500
5 Sm 0.6638 0.3362 0.9236
6 Sm 0.3362 0.6638 0.4236
7 Sm 0.3362 0.6638 0.0764
8 Sm 0.6638 0.3362 0.5764
9 Sm 0.3458 0.1710 0.2500
10 Sm 0.6542 0.8290 0.7500
11 Sm 0.1710 0.3458 0.7500
12 Sm 0.8290 0.6542 0.2500

Properties
crystal system	orthorhombic
total magnetization	0.000	μB per atom
space group	Cmcm
energy above the most stable polymorph in this dataset	4.7	kJ/mol of atoms


Record 4
A plane-wave DFT calculation with GGA-PBE was carried out for a geometry-optimized AcPrSm4 structure.

Cell: 6.7834 6.7834 6.7834 Å, 60.00 60.00 60.00°
Sites, in units of the cell vectors:
1 Pr 0.0000 0.0000 0.0000
2 Ac 0.2500 0.2500 0.2500
3 Sm 0.6258 0.6258 0.1225
4 Sm 0.6258 0.1225 0.6258
5 Sm 0.6258 0.6258 0.6258
6 Sm 0.1225 0.6258 0.6258

Properties
crystal system	cubic
total magnetization	0.000	μB per atom
space group	F-43m
energy above the most stable polymorph in this dataset	2.7	kJ/mol of atoms


Record 5
A plane-wave DFT calculation with GGA-PBE was carried out for a geometry-optimized AcPr4Sm2 structure.

Cell: 5.8904 5.8904 9.1931 Å, 71.31 71.31 60.00°
Sites, in units of the cell vectors:
1 Ac 0.0000 0.0000 0.0000
2 Pr 0.4209 0.4209 0.7374
3 Pr 0.2692 0.2692 0.1924
4 Pr 0.7308 0.7308 0.8076
5 Pr 0.5791 0.5791 0.2626
6 Sm 0.1380 0.1380 0.5859
7 Sm 0.8620 0.8620 0.4141

Properties
crystal system	trigonal
total magnetization	0.000	μB per atom
space group	R-3m
energy above the most stable polymorph in this dataset	0.0	kJ/mol of atoms


Record 6
A plane-wave DFT calculation with GGA-PBE was carried out for a geometry-optimized AcPr6Sm5 structure.

Cell: 6.4043 8.2837 8.2837 Å, 84.27 97.52 97.52°
Sites, in units of the cell vectors:
1 Pr 0.2496 0.0846 0.4205
2 Pr 0.7504 0.5795 0.9154
3 Pr 0.7450 0.2518 0.2518
4 Pr 0.2550 0.7482 0.7482
5 Pr 0.2496 0.4205 0.0846
6 Pr 0.7504 0.9154 0.5795
7 Ac 0.0000 0.0000 0.0000
8 Sm 0.5000 0.1705 0.8295
9 Sm 0.0000 0.3361 0.6639
10 Sm 0.5000 0.5000 0.5000
11 Sm 0.0000 0.6639 0.3361
12 Sm 0.5000 0.8295 0.1705

Properties
crystal system	monoclinic
total magnetization	0.000	μB per atom
space group	C2/m


Record 7
A plane-wave DFT calculation with GGA-PBE was carried out for a geometry-optimized Ac6Pr2Sm structure.

Cell: 3.9017 3.9017 28.9897 Å, 90.00 90.00 120.00°
Sites, in units of the cell vectors:
1 Ac 0.6667 0.3333 0.8951
2 Ac 0.3333 0.6667 0.4342
3 Ac 0.3333 0.6667 0.7801
4 Ac 0.3333 0.6667 0.2199
5 Ac 0.3333 0.6667 0.5658
6 Ac 0.6667 0.3333 0.1049
7 Pr 0.6667 0.3333 0.3289
8 Pr 0.6667 0.3333 0.6711
9 Sm 0.3333 0.6667 0.0000

Properties
crystal system	hexagonal
total magnetization	0.000	μB per atom
space group	P-6m2
energy above the most stable polymorph in this dataset	4.7	kJ/mol of atoms


Record 8
A plane-wave DFT calculation with GGA-PBE was carried out for a geometry-optimized AcPrSm4 structure.

Cell: 10.2891 9.1135 7.6650 Å, 126.48 120.81 90.00°
Sites, in units of the cell vectors:
1 Ac 0.6973 0.5153 0.0305
2 Ac 0.3027 0.4847 0.9695
3 Pr 0.2564 0.1674 0.3348
4 Pr 0.7436 0.8326 0.6652
5 Sm 0.8746 0.1621 0.3241
6 Sm 0.5608 0.3360 0.3223
7 Sm 0.0000 0.3079 0.0000
8 Sm 0.4392 0.0138 0.6777
9 Sm 0.1254 0.8379 0.6759
10 Sm 0.4392 0.6640 0.6777
11 Sm 0.0000 0.6921 0.0000
12 Sm 0.5608 0.9862 0.3223

Properties
crystal system	monoclinic
total magnetization	0.000	μB per atom
space group	C2/m
energy above the most stable polymorph in this dataset	0.0	kJ/mol of atoms


no.,calculated formation energy (kJ/mol of formula units),DFT total energy (Ha/atom),density of states at the Fermi level (states/eV/atom)
1,106,-0.1627,1.262
2,139,-0.1582,1.676
3,151,-0.1605,1.989
4,139,-0.1613,1.997
5,78,-0.1672,2.079
6,24,-0.1719,1.669
7,67,-0.1561,2.022
8,123,-0.1623,1.547